Entry from Alexandria via LeMat-Bulk: an optimized crystal structure of Te3P (PBE-GGA).

Cell and atoms, written as POSCAR:
```
Te3P
1.0
7.352 -2.098 -0.018
7.352 2.098 -0.018
6.762 0.000 3.567
Te P
3 1
Cartesian
5.604 0.000 0.922
10.733 0.000 1.766
15.863 0.000 2.610
0.000 0.000 0.000
```

Computed properties:
V in Å³/atom: 27.6
D(E_F) in states/eV per cell: 1.97
Uncorrected energy in eV per atom: -3.52
Energy relative to the lowest polymorph listed for this composition in eV per atom: 0.000
Energy relative to the elements, uncorrected in eV per atom: 0.188

=====

Entry from Alexandria via LeMat-Bulk: an optimized crystal structure of HoErMnTl (PBE-GGA).

Cell and atoms, written as POSCAR:
```
HoErMnTl
1.0
-4.594 -1.598 1.789
-0.416 -1.779 4.850
-2.501 2.792 3.579
Tl Mn Ho Er
1 1 1 1
Cartesian
0.000 0.000 0.000
-3.756 -0.292 5.109
-1.878 -0.146 2.554
-5.633 -0.439 7.663
```

Computed properties:
V in Å³/atom: 24.6
D(E_F) in states/eV per cell: 5.10
Uncorrected energy in eV per atom: -5.18

=====

Q: Which formula does entry 2 have?
A: HoErMnTl